Pr4TlZn3 | GGA-PBE | optimized geometry

Calculated values
- magnetization (μB/f.u.) = 0.0
- E_tot (eV per atom) = -3.43
- polymorph energy (0 for the lowest one) (meV per atom) = 46
- energy of formation (eV per atom) = -0.27
- theoretical density (g cm⁻³) = 7.33

Lattice parameters (Å, degrees): 3.7768 4.7099 12.2836 90.00 90.00 90.00
Last column: nearest neighbours and their distance in Å.
Space group Pmm2 (No. 25)
One atom of each set of equivalent atoms:
Pr 0.0000 0.0000 0.0000 x1  6 Zn 3.17-3.19
Pr 0.0000 0.5000 0.2924 x1  7 Zn 3.18-3.37
Pr 0.5000 0.0000 0.4818 x1  5 Zn 3.19-3.34, 2 Tl 3.38
Pr 0.5000 0.5000 0.8046 x1  4 Tl 3.23, 3 Zn 3.38-3.48
Tl 0.0000 0.0000 0.7099 x1  2 Zn 2.94, 4 Pr 3.23
Zn 0.0000 0.5000 0.5670 x1  2 Tl 2.94, 4 Pr 3.19
Zn 0.5000 0.0000 0.2097 x1  2 Zn 2.84, 4 Pr 3.18
Zn 0.5000 0.5000 0.0798 x1  2 Zn 2.84, 4 Pr 3.17